A plane-wave DFT calculation with meta-GGA SCAN was carried out for La2YCu2 at its PBEsol-relaxed geometry.

Lattice parameters (Å, degrees): 8.042 8.042 3.803 90.00 90.00 90.00
Element x y z (fractional)
La  0.168  0.332  0.000
La  0.332  0.832  0.000
La  0.668  0.168  0.000
La  0.832  0.668  0.000
Y  0.000  0.000  0.500
Y  0.500  0.500  0.500
Cu  0.120  0.620  0.500
Cu  0.380  0.120  0.500
Cu  0.620  0.880  0.500
Cu  0.880  0.380  0.500

Output
space group: P4/mbm, No. 127
formation energy: -132 meV/atom
DFT total energy: -2.1331 Ry per atom
size of the total moment: 0.000 μB/atom
Fermi-level density of states: 4.5 states/eV/f.u.